{
  "formula": "LaMg2PdAu",
  "functional": "PBE-GGA",
  "state": "optimized geometry",
  "volume_a3_per_cell": 199.6,
  "n_ef_per_ev_cell": 4.84,
  "energy_ha_per_atom": -0.081,
  "magnetic_moment_mub_per_cell": 0.00,
  "lattice_angstrom": [[-6.079, -0.022, -0.353], [0.102, -5.184, -1.446], [-0.334, -1.640, 5.855]],
  "species": ["Au", "Mg", "Mg", "La", "Pd"],
  "frac_coords": [[0.000, 0.500, 0.000], [0.500, 0.000, 0.000], [0.000, 0.000, 0.500], [0.000, 0.000, 0.000], [0.500, 0.500, 0.500]]
}